#1
{"formula": "LiMnAl", "functional": "PBE", "state": "optimized geometry", "dos_ef_per_ev_fu": 1.6, "space_group": "F-43m, No. 216", "rho_g_cm3": 2.701, "lattice_angstrom": [[4.259, 0.000, 0.000], [2.130, 3.688, 0.000], [2.130, 1.229, 3.478]], "species": ["Al", "Li", "Mn"], "frac_coords": [[0.750, 0.750, 0.750], [0.000, 0.000, 0.000], [0.500, 0.500, 0.500]]}


#2
{"formula": "LiMnAl", "functional": "PBE", "state": "optimized geometry", "dos_ef_per_ev_fu": 1.5, "space_group": "P4/nmm, No. 129", "rho_g_cm3": 3.552, "lattice_angstrom": [[-1.638, 1.265, -1.875], [-1.835, -2.098, 0.187], [-5.047, 5.115, 7.860]], "species": ["Mn", "Mn", "Al", "Al", "Li", "Li"], "frac_coords": [[0.000, 0.500, 0.559], [0.500, 0.000, 0.441], [0.000, 0.500, 0.286], [0.500, 0.000, 0.714], [0.500, 0.000, 0.102], [0.000, 0.500, 0.898]]}


Most stable structure, least stable structure: #2, #1.


#1
{"formula": "LiMnAl", "functional": "PBE", "state": "optimized geometry", "dos_ef_per_ev_fu": 1.0, "space_group": "P3m1, No. 156", "rho_g_cm3": 3.470, "lattice_angstrom": [[-3.042, 2.838, 1.058], [1.958, -2.288, 3.059], [1.854, 1.900, 0.234]], "species": ["Al", "Li", "Mn"], "frac_coords": [[0.000, 0.000, 0.054], [0.667, 0.333, 0.323], [0.333, 0.667, 0.623]]}


#2
{"formula": "LiMnAl", "functional": "PBE", "state": "optimized geometry", "dos_ef_per_ev_fu": 1.6, "space_group": "Imm2, No. 44", "rho_g_cm3": 3.366, "lattice_angstrom": [[4.697, -0.041, -0.032], [2.208, 4.145, 0.032], [-2.951, -2.897, 2.228]], "species": ["Al", "Li", "Mn"], "frac_coords": [[0.007, 0.007, 0.000], [0.334, 0.334, 0.000], [0.659, 0.659, 0.000]]}


#3
{"formula": "LiMnAl", "functional": "PBE", "state": "optimized geometry", "dos_ef_per_ev_fu": 1.7, "space_group": "F-43m, No. 216", "rho_g_cm3": 2.983, "lattice_angstrom": [[4.120, 0.000, 0.000], [2.060, 3.568, 0.000], [2.060, 1.189, 3.364]], "species": ["Al", "Li", "Mn"], "frac_coords": [[0.500, 0.500, 0.500], [0.750, 0.750, 0.750], [0.000, 0.000, 0.000]]}


Most stable structure, least stable structure: #1, #3.